! Tb4AgRu (PBE, optimized geometry); values from VASP
&SYSTEM
  ibrav = 0, nat = 12, ntyp = 3
/
ATOMIC_SPECIES
Tb 158.93 Tb.upf
Ag 107.87 Ag.upf
Ru 101.07 Ru.upf
CELL_PARAMETERS angstrom
7.1641 0.0000 0.0000
0.0000 6.9317 0.0000
-0.5426 0.0000 6.9655
ATOMIC_POSITIONS angstrom
Tb 0.9700 1.1359 1.3057
Tb 0.6986 2.3299 4.7885
Tb 2.2101 4.5503 0.9749
Tb 1.9388 5.8472 4.4577
Tb 4.6826 1.0845 2.5078
Tb 4.4113 2.3813 5.9906
Tb 5.9228 4.6017 2.1770
Tb 5.6515 5.7958 5.6598
Ag 3.5820 0.0000 0.0000
Ag 3.3107 3.4658 3.4828
Ru -0.2713 0.0000 3.4828
Ru 0.0000 3.4658 0.0000
! Size of the total moment in μB per cell: 0.0
! Relative energy among the computed polymorphs in eV per atom: 0.134
! Fermi-level density of states in states/eV/cell: 11.17

! Tb3AgRu (PBE, optimized geometry); values from VASP
&SYSTEM
  ibrav = 0, nat = 10, ntyp = 3
/
ATOMIC_SPECIES
Tb 158.93 Tb.upf
Ag 107.87 Ag.upf
Ru 101.07 Ru.upf
CELL_PARAMETERS angstrom
3.2329 -7.7317 0.0000
3.2329 7.7317 0.0000
-2.6418 0.0000 4.9885
ATOMIC_POSITIONS angstrom
Tb 3.2329 4.7622 0.0000
Tb 0.3020 1.7083 3.1878
Tb 0.3020 -1.7083 3.1878
Tb 3.5220 1.7083 1.8007
Tb 3.5220 -1.7083 1.8007
Tb 3.2329 -4.7622 0.0000
Ag 1.3008 0.0000 0.4049
Ag 2.5233 0.0000 4.5836
Ru 1.9120 3.8683 2.4942
Ru 1.9120 -3.8683 2.4942
! Size of the total moment in μB per cell: 0.0
! DFT total energy in eV/atom: -5.527
! Fermi-level density of states in states/eV/cell: 6.30

- Which formula does entry 2 have?
  Tb3AgRu

What did the first record say?
! Tb4AgRu (PBE, optimized geometry); values from VASP
&SYSTEM
  ibrav = 0, nat = 12, ntyp = 3
/
ATOMIC_SPECIES
Tb 158.93 Tb.upf
Ag 107.87 Ag.upf
Ru 101.07 Ru.upf
CELL_PARAMETERS angstrom
7.1641 0.0000 0.0000
0.0000 6.9317 0.0000
-0.5426 0.0000 6.9655
ATOMIC_POSITIONS angstrom
Tb 0.9700 1.1359 1.3057
Tb 0.6986 2.3299 4.7885
Tb 2.2101 4.5503 0.9749
Tb 1.9388 5.8472 4.4577
Tb 4.6826 1.0845 2.5078
Tb 4.4113 2.3813 5.9906
Tb 5.9228 4.6017 2.1770
Tb 5.6515 5.7958 5.6598
Ag 3.5820 0.0000 0.0000
Ag 3.3107 3.4658 3.4828
Ru -0.2713 0.0000 3.4828
Ru 0.0000 3.4658 0.0000
! Size of the total moment in μB per cell: 0.0
! Relative energy among the computed polymorphs in eV per atom: 0.134
! Fermi-level density of states in states/eV/cell: 11.17

Please write out number 2 again, unchanged.
! Tb3AgRu (PBE, optimized geometry); values from VASP
&SYSTEM
  ibrav = 0, nat = 10, ntyp = 3
/
ATOMIC_SPECIES
Tb 158.93 Tb.upf
Ag 107.87 Ag.upf
Ru 101.07 Ru.upf
CELL_PARAMETERS angstrom
3.2329 -7.7317 0.0000
3.2329 7.7317 0.0000
-2.6418 0.0000 4.9885
ATOMIC_POSITIONS angstrom
Tb 3.2329 4.7622 0.0000
Tb 0.3020 1.7083 3.1878
Tb 0.3020 -1.7083 3.1878
Tb 3.5220 1.7083 1.8007
Tb 3.5220 -1.7083 1.8007
Tb 3.2329 -4.7622 0.0000
Ag 1.3008 0.0000 0.4049
Ag 2.5233 0.0000 4.5836
Ru 1.9120 3.8683 2.4942
Ru 1.9120 -3.8683 2.4942
! Size of the total moment in μB per cell: 0.0
! DFT total energy in eV/atom: -5.527
! Fermi-level density of states in states/eV/cell: 6.30